# 1
! Nd2EuPd, optimized geometry, DFT GGA-PBE; values from VASP
! * E_form: -0.31 eV per atom
! * electronic total energy: -6.565 eV/atom
! * energy relative to the lowest polymorph listed for this composition: 0.0 meV/atom
! * density: 7.29 g/cm³
&SYSTEM
  ibrav = 0, nat = 4, ntyp = 3
/
ATOMIC_SPECIES
Nd 144.24 Nd.upf
Eu 151.96 Eu.upf
Pd 106.42 Pd.upf
ATOMIC_POSITIONS angstrom
Nd 0.0000 0.0000 1.7001
Nd 0.0000 0.0000 7.3787
Eu 1.8523 1.8523 4.5394
Pd 1.8523 1.8523 0.0000
CELL_PARAMETERS angstrom
3.7046 0.0000 0.0000
0.0000 3.7046 0.0000
0.0000 0.0000 9.0788


# 2
! La5Pr3Cd, optimized geometry, DFT GGA-PBE; values from VASP
! * E_form: 0.25 eV per atom
! * electronic total energy: -4.180 eV/atom
! * density: 6.09 g/cm³
&SYSTEM
  ibrav = 0, nat = 18, ntyp = 3
/
ATOMIC_SPECIES
La 138.91 La.upf
Pr 140.91 Pr.upf
Cd 112.41 Cd.upf
ATOMIC_POSITIONS angstrom
La -0.0128 0.0000 11.1388
La 2.7244 1.9841 5.0006
La 5.4656 2.7208 0.0000
La 3.1085 0.0000 1.9659
La 2.7244 -1.9841 5.0006
La 8.1728 1.9841 9.7879
La 7.7887 0.0000 12.8227
La 5.4656 -2.7208 0.0000
La 8.1728 -1.9841 9.7879
La 10.9100 0.0000 3.6498
Pr 1.5033 0.0000 7.4511
Pr 3.0406 0.0000 12.7628
Pr 5.4656 0.0000 0.0000
Pr 5.4486 0.0000 7.3943
Pr 7.8566 0.0000 2.0257
Pr 9.3939 0.0000 7.3375
Cd 5.3994 0.0000 10.6425
Cd 5.4978 0.0000 4.1460
CELL_PARAMETERS angstrom
5.4656 -4.1458 0.0000
5.4656 4.1458 0.0000
-0.0340 0.0000 14.7886